1.
SrZr2Zn2 | Alexandria via LeMat-Bulk | PBE | optimized geometry; offset from the most stable computed form = 0.0000 eV/atom; space-group type = P4/mbm, No. 127; formation enthalpy at 0 K = 0.030 eV per atom
1.0
-3.134 7.129 -3.464
-7.923 -2.717 1.577
0.079 1.389 2.788
Sr Zr Zn
2 4 4
direct
0.500 0.500 0.000 Sr
0.000 0.000 0.000 Sr
0.879 0.621 0.000 Zr
0.379 0.879 0.000 Zr
0.121 0.379 0.000 Zr
0.621 0.121 0.000 Zr
0.174 0.674 0.500 Zn
0.674 0.826 0.500 Zn
0.326 0.174 0.500 Zn
0.826 0.326 0.500 Zn

2.
TiBeI2O | Alexandria via LeMat-Bulk | PBE | optimized geometry; offset from the most stable computed form = 0.0260 eV/atom; space-group type = P4/mmm, No. 123; uncorrected formation energy = -2.3 eV/f.u.
1.0
-2.751 4.840 -1.443
-3.103 -0.323 4.832
2.159 1.674 1.499
O I Ti Be
1 2 1 1
direct
0.000 0.000 0.500 O
0.500 0.000 0.000 I
0.000 0.500 0.000 I
0.500 0.500 0.500 Ti
0.000 0.000 0.000 Be

3.
CrOs2Pd | Alexandria via LeMat-Bulk | PBE | optimized geometry; offset from the most stable computed form = 0.0000 eV/atom; space-group type = Fm-3m, No. 225; formation enthalpy at 0 K = 0.493 eV per atom
1.0
2.298 0.072 3.635
0.688 3.726 2.036
-1.941 0.789 3.756
Pd Os Cr
1 2 1
direct
0.500 0.500 0.500 Pd
0.750 0.750 0.750 Os
0.250 0.250 0.250 Os
0.000 0.000 0.000 Cr

offset from the most stable computed form of number 1 (SrZr2Zn2)? 0.0000 eV/atom

Look up the offset from the most stable computed form of the second one. 0.0260 eV/atom

Look up the offset from the most stable computed form of the third one. 0.0000 eV/atom